Entry 1:
Ca2HfMnN: relaxed, GGA-PBE.

Summary:
Symmetry = P4/mmm
Energy relative to the elements, uncorrected = 3.52 eV/f.u.
DFT total energy = -27.93 eV/cell
Crystal system = tetragonal
M_tot = 0.49 μB/atom

Cell: 5.8076 3.5250 5.8076 Å, 90.00 90.00 90.00°
Last column: nearest neighbours and their distance in Å.
Element x y z (fractional)
1 Ca 0.5000 0.0000 0.0000  2 Mn 2.90
2 Ca 0.0000 0.0000 0.5000  2 Mn 2.90
3 Mn 0.0000 0.0000 0.0000  2 N 1.76
4 N 0.0000 0.5000 0.0000  2 Mn 1.76
5 Hf 0.5000 0.5000 0.5000  8 Ca 3.40, 2 Hf 3.53

Entry 2:
BaLaI2: relaxed, GGA-PBE.

Summary:
Symmetry = Fm-3m
Energy relative to the elements, uncorrected = -3.96 eV/f.u.
DFT total energy = -13.91 eV/cell
Crystal system = cubic
M_tot = 0.00 μB/atom

Cell: 5.8013 5.8013 5.8013 Å, 60.00 60.00 60.00°
Last column: nearest neighbours and their distance in Å.
Element x y z (fractional)
1 Ba 0.0000 0.0000 0.0000  8 I 3.55
2 La 0.5000 0.5000 0.5000  8 I 3.55
3 I 0.2500 0.2500 0.2500  4 Ba 3.55, 4 La 3.55
4 I 0.7500 0.7500 0.7500  4 La 3.55, 4 Ba 3.55

Entry 3:
YTiCu: relaxed, GGA-PBE.

Summary:
Symmetry = C2
Energy relative to the elements = 0.066 eV per atom
DFT total energy = -36.51 eV/cell
Crystal system = monoclinic
M_tot = 0.25 μB/atom

Cell: 3.3815 7.3768 5.9846 Å, 122.95 73.62 103.26°
Last column: nearest neighbours and their distance in Å.
Element x y z (fractional)
1 Y 0.1946 0.2654 0.8315  4 Cu 3.12-3.13, 6 Ti 3.17-3.38, 4 Y 3.25-3.38
2 Y 0.1928 0.7654 0.3315  4 Cu 3.04-3.05, 4 Ti 3.16, 4 Y 3.25-3.38
3 Cu 0.5085 0.9013 0.8347  2 Cu 2.57, 2 Ti 2.65
4 Cu 0.8766 0.6295 0.8284  2 Cu 2.57, 2 Ti 2.65
5 Ti 0.4847 0.4327 0.4159  3 Cu 2.65-2.97, 2 Ti 2.68
6 Ti 0.9019 0.0982 0.2471  3 Cu 2.65-2.97, 2 Ti 2.68

Entry 4:
Ba2NaHfIr: relaxed, GGA-PBE.

Summary:
Symmetry = P4/mmm
Energy relative to the elements = 1.271 eV per atom
DFT total energy = -17.62 eV/cell
Crystal system = tetragonal
M_tot = 0.22 μB/atom

Cell: 5.8589 4.8730 5.8589 Å, 90.00 90.00 90.00°
Last column: nearest neighbours and their distance in Å.
Element x y z (fractional)
1 Ba 0.5000 0.0000 0.0000  2 Na 2.93
2 Ba 0.0000 0.0000 0.5000  2 Na 2.93
3 Ir 0.0000 0.5000 0.0000  2 Na 2.44
4 Hf 0.5000 0.5000 0.5000  8 Ba 3.81, 4 Ir 4.14
5 Na 0.0000 0.0000 0.0000  2 Ir 2.44